Entry 1:
Entry from the Alexandria database: a geometry-optimized HoO2F3 structure (GGA-PBE).

## Properties
Space-group type ... C2/c
Total magnetic moment ... 0.333 μB per atom
Formation energy (no corrections) ... -1552 kJ/mol of formula units
VASP energy ... -0.4434 Ry per atom

Lattice parameters (Å, degrees): 4.348 7.006 8.475 103.67 104.86 90.00
Fractional positions:
O 0.389 0.009 0.534
O 0.855 0.491 0.466
F 0.923 0.952 0.834
F 0.500 0.250 0.000
F 0.077 0.048 0.166
Ho 0.000 0.250 0.000
O 0.611 0.991 0.466
F 0.911 0.452 0.834
F 0.089 0.548 0.166
Ho 0.000 0.750 0.000
F 0.500 0.750 0.000
O 0.145 0.509 0.534

---

Entry 2:
Entry from the Alexandria database: a geometry-optimized TaMn2Mo structure (GGA-PBE).

## Properties
Space-group type ... P4/mmm
Total magnetic moment ... 0.000 μB per atom
Formation energy ... -0.0337 eV per atom
VASP energy ... -0.7563 Ry per atom

Lattice parameters (Å, degrees): 4.287 4.287 3.017 90.00 90.00 90.00
Fractional positions:
Mn 0.000 0.000 0.000
Mn 0.500 0.500 0.000
Ta 0.000 0.500 0.500
Mo 0.500 0.000 0.500

---

Entry 3:
Entry from the Alexandria database: a geometry-optimized SnHg3C structure (GGA-PBE).

## Properties
Space-group type ... Pm-3m
Total magnetic moment ... 0.000 μB per atom
Formation energy ... 1.0192 eV per atom
VASP energy ... -0.1328 Ry per atom

Lattice parameters (Å, degrees): 4.851 4.851 4.851 90.00 90.00 90.00
Fractional positions:
Sn 0.500 0.500 0.500
Hg 0.000 0.500 0.000
Hg 0.000 0.000 0.500
Hg 0.500 0.000 0.000
C 0.000 0.000 0.000

---

Entry 4:
Entry from the Alexandria database: a geometry-optimized AcPm6Y8 structure (GGA-PBE).

## Properties
Space-group type ... R-3
Total magnetic moment ... 0.000 μB per atom
Formation energy ... 0.1623 eV per atom
VASP energy ... -0.4013 Ry per atom

Lattice parameters (Å, degrees): 9.390 9.390 8.670 57.21 57.21 60.00
Fractional positions:
Y 0.570 0.570 0.289
Pm 0.550 0.106 0.075
Pm 0.894 0.731 0.925
Ac 0.000 0.000 0.000
Pm 0.106 0.269 0.075
Y 0.774 0.084 0.495
Y 0.647 0.774 0.495
Pm 0.450 0.894 0.925
Pm 0.269 0.550 0.075
Y 0.226 0.916 0.505
Y 0.084 0.647 0.495
Y 0.916 0.353 0.505
Pm 0.731 0.450 0.925
Y 0.353 0.226 0.505
Y 0.430 0.430 0.711

---

Entry 5:
Entry from the Alexandria database: a geometry-optimized YHoBeCo structure (GGA-PBE).

## Properties
Space-group type ... F-43m
Total magnetic moment ... 0.000 μB per atom
Formation energy ... -0.0339 eV per atom
VASP energy ... -0.4044 Ry per atom

Lattice parameters (Å, degrees): 4.760 4.760 4.760 60.00 60.00 60.00
Fractional positions:
Y 0.750 0.750 0.750
Be 0.500 0.500 0.500
Co 0.000 0.000 0.000
Ho 0.250 0.250 0.250

---

Entry 6:
Entry from the Alexandria database: a geometry-optimized AlAg3Sb structure (GGA-PBE).

## Properties
Space-group type ... Pm-3m
Total magnetic moment ... 0.000 μB per atom
Formation energy (no corrections) ... 235 kJ/mol of formula units
VASP energy ... -0.2055 Ry per atom

Lattice parameters (Å, degrees): 4.887 4.887 4.887 90.00 90.00 90.00
Fractional positions:
Ag 0.000 0.000 0.500
Sb 0.500 0.500 0.500
Ag 0.500 0.000 0.000
Al 0.000 0.000 0.000
Ag 0.000 0.500 0.000

---

Entry 7:
Entry from the Alexandria database: a geometry-optimized LiHfAsO2 structure (GGA-PBE).

## Properties
Space-group type ... P4/mmm
Total magnetic moment ... 0.292 μB per atom
Formation energy (no corrections) ... -592 kJ/mol of formula units
VASP energy ... -0.4787 Ry per atom

Lattice parameters (Å, degrees): 3.956 7.447 3.956 90.00 90.00 90.00
Fractional positions:
Li 0.000 0.500 0.000
Hf 0.000 0.000 0.000
O 0.000 0.000 0.500
As 0.500 0.500 0.500
O 0.500 0.000 0.000

---

Entry 8:
Entry from the Alexandria database: a geometry-optimized Cd7C6 structure (GGA-PBE).

## Properties
Space-group type ... R-3m
Total magnetic moment ... 0.000 μB per atom
Formation energy ... 1.2614 eV per atom
VASP energy ... -0.2564 Ry per atom

Lattice parameters (Å, degrees): 9.292 9.292 9.292 41.08 41.08 41.08
Fractional positions:
C 0.828 0.828 0.828
Cd 0.437 0.939 0.437
Cd 0.437 0.437 0.939
Cd 0.500 0.500 0.500
C 0.778 0.778 0.778
C 0.172 0.172 0.172
Cd 0.061 0.563 0.563
C 0.222 0.222 0.222
C 0.352 0.352 0.352
C 0.648 0.648 0.648
Cd 0.939 0.437 0.437
Cd 0.563 0.563 0.061
Cd 0.563 0.061 0.563

---

Entry 9:
Entry from the Alexandria database: a geometry-optimized CaIrRh structure (GGA-PBE).

## Properties
Space-group type ... Imma
Total magnetic moment ... 0.000 μB per atom
Formation energy ... -0.4485 eV per atom
VASP energy ... -0.4792 Ry per atom

Lattice parameters (Å, degrees): 5.373 5.373 5.373 89.08 121.53 119.55
Fractional positions:
Ca 0.250 0.127 0.877
Rh 0.500 0.000 0.500
Ca 0.750 0.873 0.123
Ir 0.500 0.500 0.500
Rh 0.000 0.500 0.500
Ir 0.000 0.500 0.000

---

Entry 10:
Entry from the Alexandria database: a geometry-optimized La4Ga3Ir structure (GGA-PBE).

## Properties
Space-group type ... Pmm2
Total magnetic moment ... 0.000 μB per atom
Formation energy ... -0.6268 eV per atom
VASP energy ... -0.3920 Ry per atom

Lattice parameters (Å, degrees): 4.470 4.330 11.086 90.00 90.00 90.00
Fractional positions:
Ga 0.500 0.000 0.936
La 0.000 0.000 0.138
La 0.500 0.000 0.643
La 0.500 0.500 0.344
Ir 0.500 0.500 0.076
Ga 0.000 0.500 0.569
La 0.000 0.500 0.867
Ga 0.000 0.000 0.428

---

Entry 11:
Entry from the Alexandria database: a geometry-optimized SrOsSe2 structure (GGA-PBE).

## Properties
Space-group type ... P2/m
Total magnetic moment ... 0.000 μB per atom
Formation energy (no corrections) ... -172 kJ/mol of formula units
VASP energy ... -0.3981 Ry per atom

Lattice parameters (Å, degrees): 3.906 5.054 5.112 78.48 90.00 90.00
Fractional positions:
Se 0.000 0.936 0.942
Os 0.500 0.750 0.750
Sr 0.500 0.250 0.250
Se 0.000 0.564 0.558

---

Entry 12:
Entry from the Alexandria database: a geometry-optimized Cs2Er2PaS6 structure (GGA-PBE).

## Properties
Space-group type ... C2/m
Total magnetic moment ... 0.097 μB per atom
Formation energy (no corrections) ... -1922 kJ/mol of formula units
VASP energy ... -0.4344 Ry per atom

Lattice parameters (Å, degrees): 6.977 6.977 8.591 97.90 97.90 120.01
Fractional positions:
Cs 0.168 0.832 0.000
S 0.941 0.608 0.324
Cs 0.832 0.168 0.000
Pa 0.000 0.000 0.500
S 0.608 0.941 0.324
S 0.272 0.272 0.324
S 0.392 0.059 0.676
S 0.059 0.392 0.676
Er 0.334 0.666 0.500
S 0.728 0.728 0.676
Er 0.666 0.334 0.500